## Ta2FePtF (PBE with a Hubbard U)

Data for a relaxed Ta2FePtF crystal.

Geometry as POSCAR:
```
Ta2FePtF
1.0
4.6780 0.0000 0.0000
0.0000 3.6277 0.0000
0.0000 0.0000 4.6780
F Fe Pt Ta
1 1 1 2
Direct
0.0000 0.5000 0.0000
0.0000 0.0000 0.0000
0.5000 0.5000 0.5000
0.0000 0.0000 0.5000
0.5000 0.0000 0.0000
```

Output
Total energy   -6.7960 eV per atom
Magnetic moment   0.02 μB/cell
DOS(E_F)   4.61 states/eV per cell